# 1
This record from the Alexandria database describes a relaxed structure of NbHgRu. The functional is PBE-GGA.

Structure (POSCAR):
```
NbHgRu
1.0
-0.018 -6.729 -0.722
3.034 -0.025 0.161
-0.555 1.821 10.770
Hg Ru Nb
4 4 4
direct
0.552 0.000 0.032
0.552 0.500 0.532
0.647 0.500 0.814
0.647 0.000 0.314
0.274 0.000 0.653
0.230 0.500 0.854
0.230 0.000 0.354
0.274 0.500 0.153
0.927 0.000 0.681
0.028 0.500 0.472
0.927 0.500 0.181
0.028 0.000 0.972
```

For the raw total energy, the calculation gives -76.87 eV for the cell shown. The calculation puts the density of states at the Fermi level at 9.192 states/eV/cell. The polymorph energy (0 for the lowest one) comes out at 0.13 eV per formula unit.



# 2
This record from the Alexandria database describes a relaxed structure of NbHgRu2. The functional is PBE-GGA.

Structure (POSCAR):
```
NbHgRu2
1.0
-1.394 -3.710 -2.197
-2.714 -2.977 2.075
-4.332 -0.387 -1.272
Ru Hg Nb
2 1 1
direct
0.750 0.750 0.750
0.250 0.250 0.250
0.500 0.500 0.500
0.000 0.000 0.000
```

For the raw total energy, the calculation gives -28.40 eV for the cell shown. The calculation puts the density of states at the Fermi level at 5.282 states/eV/cell. The polymorph energy (0 for the lowest one) comes out at 0.34 eV per formula unit.



# 3
This record from the Alexandria database describes a relaxed structure of NbHgRu2. The functional is PBE-GGA.

Structure (POSCAR):
```
NbHgRu2
1.0
-1.783 -2.140 -1.567
-1.116 -1.108 2.783
-4.953 4.321 -0.265
Ru Hg Nb
2 1 1
direct
0.000 0.000 0.776
0.000 0.000 0.224
0.500 0.500 0.500
0.500 0.500 0.000
```

For the raw total energy, the calculation gives -28.74 eV for the cell shown. The calculation puts the density of states at the Fermi level at 4.796 states/eV/cell. The polymorph energy (0 for the lowest one) comes out at 0.00 eV per formula unit.



# 4
This record from the Alexandria database describes a relaxed structure of Nb2HgRu. The functional is PBE-GGA.

Structure (POSCAR):
```
Nb2HgRu
1.0
2.903 0.000 0.000
1.451 2.514 0.000
1.451 0.838 10.410
Ru Nb Hg
1 2 1
direct
0.500 0.500 0.500
0.096 0.096 0.711
0.904 0.904 0.289
0.000 0.000 0.000
```

For the raw total energy, the calculation gives -28.18 eV for the cell shown. The calculation puts the density of states at the Fermi level at 5.187 states/eV/cell. The polymorph energy (0 for the lowest one) comes out at 0.22 eV per formula unit.



# 5
This record from the Alexandria database describes a relaxed structure of Nb2HgRu2. The functional is PBE-GGA.

Structure (POSCAR):
```
Nb2HgRu2
1.0
-7.421 -0.247 -1.486
1.371 -4.206 -6.146
-0.251 -2.526 1.673
Ru Nb Hg
4 4 2
direct
0.637 0.137 0.000
0.363 0.863 0.000
0.863 0.637 0.000
0.137 0.363 0.000
0.158 0.658 0.500
0.842 0.342 0.500
0.658 0.842 0.500
0.342 0.158 0.500
0.500 0.500 0.000
0.000 0.000 0.000
```

For the raw total energy, the calculation gives -78.25 eV for the cell shown. The calculation puts the density of states at the Fermi level at 8.233 states/eV/cell. The polymorph energy (0 for the lowest one) comes out at 0.00 eV per formula unit.



# 6
This record from the Alexandria database describes a relaxed structure of Nb2HgRu. The functional is PBE-GGA.

Structure (POSCAR):
```
Nb2HgRu
1.0
0.000 3.293 3.293
3.293 0.000 3.293
3.293 3.293 0.000
Ru Nb Hg
1 2 1
direct
0.000 0.000 0.000
0.750 0.750 0.750
0.250 0.250 0.250
0.500 0.500 0.500
```

For the raw total energy, the calculation gives -28.40 eV for the cell shown. The calculation puts the density of states at the Fermi level at 7.501 states/eV/cell. The polymorph energy (0 for the lowest one) comes out at 0.00 eV per formula unit.



# 7
This record from the Alexandria database describes a relaxed structure of NbHgRuSe2. The functional is PBE-GGA.

Structure (POSCAR):
```
NbHgRuSe2
1.0
5.009 0.000 0.000
0.000 5.206 0.000
0.000 0.000 5.009
Se Nb Hg Ru
2 1 1 1
direct
0.000 0.000 0.500
0.500 0.000 0.000
0.000 0.500 0.000
0.000 0.000 0.000
0.500 0.500 0.500
```

The value obtained for the uncorrected formation energy is 1986 meV per atom. For the raw total energy, the calculation gives -16.69 eV for the cell shown. The calculation puts the density of states at the Fermi level at 8.857 states/eV/cell.



# 8
This record from the Alexandria database describes a relaxed structure of NbHgS4. The functional is PBE-GGA.

Structure (POSCAR):
```
NbHgS4
1.0
6.163 -0.157 -1.380
-2.118 7.115 -1.598
0.056 1.006 7.697
S Nb Hg
8 2 2
direct
0.594 0.086 0.261
0.484 0.813 0.153
0.406 0.914 0.739
0.095 0.280 0.039
0.905 0.720 0.961
0.983 0.133 0.782
0.516 0.187 0.847
0.017 0.867 0.218
0.234 0.000 0.000
0.766 0.000 0.000
0.224 0.449 0.457
0.776 0.551 0.543
```

The value obtained for the uncorrected formation energy is -512 meV per atom. For the raw total energy, the calculation gives -59.91 eV for the cell shown.



# 9
This record from the Alexandria database describes a relaxed structure of Nb2HgS. The functional is PBE-GGA.

Structure (POSCAR):
```
Nb2HgS
1.0
2.990 0.424 3.499
-0.431 -2.674 3.745
3.086 -3.342 0.821
Nb Hg S
2 1 1
direct
0.750 0.750 0.750
0.250 0.250 0.250
0.500 0.500 0.500
0.000 0.000 0.000
```

The value obtained for the uncorrected formation energy is 175 meV per atom. For the raw total energy, the calculation gives -23.87 eV for the cell shown. The calculation puts the density of states at the Fermi level at 2.328 states/eV/cell. The polymorph energy (0 for the lowest one) comes out at 0.00 eV per formula unit.



# 10
This record from the Alexandria database describes a relaxed structure of Nb2HgS. The functional is PBE-GGA.

Structure (POSCAR):
```
Nb2HgS
1.0
4.105 0.000 0.000
0.000 4.105 0.000
2.052 2.052 9.420
Nb Hg S
4 2 2
direct
0.375 0.388 0.750
0.138 0.625 0.250
0.875 0.862 0.750
0.612 0.125 0.250
0.000 0.000 0.000
0.750 0.250 0.500
0.250 0.750 0.500
0.500 0.500 0.000
```

The value obtained for the uncorrected formation energy is 384 meV per atom. For the raw total energy, the calculation gives -46.06 eV for the cell shown. The calculation puts the density of states at the Fermi level at 6.654 states/eV/cell. The polymorph energy (0 for the lowest one) comes out at 0.84 eV per formula unit.



# 11
This record from the Alexandria database describes a relaxed structure of NbHgS. The functional is PBE-GGA.

Structure (POSCAR):
```
NbHgS
1.0
5.743 3.413 0.069
3.385 5.760 0.069
-4.891 -4.915 5.972
S Nb Hg
2 2 2
direct
0.351 0.351 0.939
0.649 0.649 0.061
0.343 0.343 0.195
0.657 0.657 0.805
0.871 0.871 0.543
0.129 0.129 0.457
```

The value obtained for the uncorrected formation energy is -361 meV per atom. For the raw total energy, the calculation gives -31.16 eV for the cell shown. The calculation puts the density of states at the Fermi level at 3.103 states/eV/cell.



# 12
This record from the Alexandria database describes a relaxed structure of NbHg3S. The functional is PBE-GGA.

Structure (POSCAR):
```
NbHg3S
1.0
5.164 0.000 0.000
0.000 5.164 0.000
0.000 0.000 5.164
S Nb Hg
1 1 3
direct
0.000 0.000 0.000
0.500 0.500 0.500
0.000 0.000 0.500
0.000 0.500 0.000
0.500 0.000 0.000
```

The value obtained for the uncorrected formation energy is 1106 meV per atom. For the raw total energy, the calculation gives -9.57 eV for the cell shown. The calculation puts the density of states at the Fermi level at 4.220 states/eV/cell. The polymorph energy (0 for the lowest one) comes out at 0.27 eV per formula unit.